# SrSi2Pt2

A relaxed SrSi2Pt2 crystal (PBE-GGA, OQMD).

Its symmetry is No. 139.

The structure in POSCAR format:
```
SrSi2Pt2
1.0
3.0563 -3.0563 0.0000
3.0563 3.0563 0.0000
-3.0563 0.0000 5.0298
Pt Sr Si
2 1 2
direct
0.7500 0.2500 0.5000
0.2500 0.7500 0.5000
0.0000 0.0000 0.0000
0.3718 0.3718 0.7436
0.6282 0.6282 0.2564
```

# Pm4CoI5

A relaxed Pm4CoI5 crystal (PBE-GGA, OQMD).

Its symmetry is No. 12.

The structure in POSCAR format:
```
Pm4CoI5
1.0
-5.3567 7.5160 4.0144
-5.0345 4.8955 7.2103
8.5339 2.7087 1.3605
Pm I Co
4 5 1
direct
0.3580 0.3580 0.9255
0.0005 0.0005 0.7999
0.9995 0.9995 0.2002
0.6420 0.6420 0.0745
0.8251 0.8251 0.1732
0.8329 0.8329 0.6533
0.1749 0.1749 0.8268
0.1671 0.1671 0.3467
0.5000 0.5000 0.5000
0.5000 0.5000 0.0000
```

Table of uncorrected energy (eV/f.u.), in record order: -28.94 -44.41